# PrCrBrO4

A relaxed structure of PrCrBrO4 (GGA+U, the Alexandria database).

Volume, Å³/atom: 18.726
Space-group type: No. 12
Raw total energy, eV per cell: -94.5

CIF file:
```
data_PrCrBrO4
_chemical_formula_sum 'Pr2 Cr2 Br2 O8'
_space_group_name_H-M_alt 'P 1'
_space_group_IT_number 1
_space_group_name_Hall 'P 1'
_cell_length_a 6.4366
_cell_length_b 6.4366
_cell_length_c 6.9263
_cell_angle_alpha 101.62
_cell_angle_beta 101.62
_cell_angle_gamma 70.52
loop_
_atom_site_label
_atom_site_fract_x
_atom_site_fract_y
_atom_site_fract_z
Pr1 0.2338 0.2338 0.1276
Pr2 0.7662 0.7662 0.8724
Cr1 0.3620 0.3620 0.7361
Cr2 0.6380 0.6380 0.2639
Br1 0.0195 0.0195 0.7537
Br2 0.9805 0.9805 0.2463
O1 0.1371 0.4923 0.8557
O2 0.2902 0.2902 0.4966
O3 0.4778 0.4778 0.2329
O4 0.4923 0.1371 0.8557
O5 0.5077 0.8629 0.1443
O6 0.5222 0.5222 0.7671
O7 0.7098 0.7098 0.5034
O8 0.8629 0.5077 0.1443
```